{"formula": "LiTb5Se6", "functional": "GGA-PBE", "state": "relaxed", "total_energy_ev_per_atom": -5.598, "crystal_system": "monoclinic", "raw_formation_energy_mev_per_atom": -1767, "cell": [[7.061, 0.190, 0.000], [2.170, 6.701, 0.000], [1.085, 3.350, 6.101]], "species": ["Tb", "Tb", "Tb", "Tb", "Tb", "Se", "Se", "Se", "Se", "Se", "Se", "Li"], "frac_coords": [[0.500, 0.500, 0.000], [0.500, 0.167, 0.665], [0.500, 0.833, 0.335], [0.000, 0.335, 0.330], [0.000, 0.665, 0.670], [0.244, 0.595, 0.324], [0.243, 0.241, 0.000], [0.756, 0.081, 0.324], [0.756, 0.405, 0.676], [0.757, 0.759, 0.000], [0.244, 0.919, 0.676], [0.000, 0.000, 0.000]]}

---

{"formula": "CePm2N2", "functional": "GGA-PBE", "state": "relaxed", "total_energy_ev_per_atom": -7.516, "crystal_system": "orthorhombic", "raw_formation_energy_mev_per_atom": -1099, "cell": [[-1.739, 0.503, 3.056], [-0.865, -5.062, 0.340], [5.986, 1.664, 1.068]], "species": ["Ce", "Pm", "Pm", "N", "N"], "frac_coords": [[0.000, 0.000, 0.000], [0.320, 0.320, 0.640], [0.680, 0.680, 0.360], [0.660, 0.160, 0.320], [0.340, 0.840, 0.680]]}

---

{"formula": "NaNiH3", "functional": "GGA-PBE", "state": "relaxed", "total_energy_ev_per_atom": -3.328, "crystal_system": "orthorhombic", "cell": [[2.523, 0.000, 0.000], [0.000, 2.450, -5.060], [0.000, 2.450, 5.060]], "species": ["Ni", "H", "H", "H", "Na"], "frac_coords": [[0.000, 0.411, 0.589], [0.000, 0.261, 0.739], [0.500, 0.223, 0.359], [0.500, 0.641, 0.777], [0.500, 0.092, 0.908]]}

---

{"formula": "Tb2ScOs", "functional": "GGA-PBE", "state": "relaxed", "total_energy_ev_per_atom": -6.968, "crystal_system": "orthorhombic", "relative_energy_mev_per_atom": 0, "cell": [[-1.898, -0.538, -5.935], [4.751, -5.290, -1.040], [-6.162, -6.028, 2.517]], "species": ["Tb", "Tb", "Tb", "Tb", "Tb", "Tb", "Tb", "Tb", "Os", "Os", "Os", "Os", "Sc", "Sc", "Sc", "Sc"], "frac_coords": [[0.326, 0.177, 0.439], [0.674, 0.823, 0.561], [0.826, 0.323, 0.561], [0.174, 0.677, 0.439], [0.326, 0.177, 0.061], [0.826, 0.323, 0.939], [0.174, 0.677, 0.061], [0.674, 0.823, 0.939], [0.984, 0.618, 0.750], [0.484, 0.882, 0.250], [0.516, 0.118, 0.750], [0.016, 0.382, 0.250], [0.367, 0.457, 0.750], [0.133, 0.957, 0.750], [0.633, 0.543, 0.250], [0.867, 0.043, 0.250]]}

---

{"formula": "Ca2AcAl2", "functional": "GGA-PBE", "state": "relaxed", "total_energy_ev_per_atom": -3.271, "crystal_system": "monoclinic", "relative_energy_mev_per_atom": 0, "cell": [[4.413, 0.000, 0.000], [0.000, 6.189, 0.248], [-2.207, -1.526, 6.051]], "species": ["Ca", "Ca", "Al", "Al", "Ac"], "frac_coords": [[0.648, 0.578, 0.295], [0.352, 0.422, 0.705], [0.718, 0.094, 0.437], [0.282, 0.906, 0.563], [0.000, 0.000, 0.000]]}

---

{"formula": "Ac6Co2HgCl3", "functional": "GGA-PBE", "state": "relaxed", "total_energy_ev_per_atom": -4.593, "crystal_system": "monoclinic", "raw_formation_energy_mev_per_atom": -867, "cell": [[-3.264, 2.703, -0.047], [-0.268, -0.485, -9.313], [-4.826, -9.084, 3.821]], "species": ["Co", "Co", "Ac", "Ac", "Ac", "Ac", "Ac", "Ac", "Cl", "Cl", "Cl", "Hg"], "frac_coords": [[0.828, 0.656, 0.657], [0.172, 0.344, 0.343], [0.311, 0.428, 0.623], [0.663, 0.121, 0.325], [0.689, 0.572, 0.377], [0.037, 0.278, 0.075], [0.963, 0.722, 0.925], [0.337, 0.879, 0.675], [0.818, 0.144, 0.636], [0.500, 0.500, 0.000], [0.182, 0.856, 0.364], [0.500, 0.000, 0.000]]}

---

| no. | total magnetic moment (μB/cell) |
| --- | --- |
| 1 | 0.0 |
| 2 | 0.5 |
| 3 | 0.0 |
| 4 | 0.0 |
| 5 | 0.0 |
| 6 | 0.0 |